[1]
This record from OQMD via LeMat-Bulk describes an optimized crystal structure of Zn2Te. The functional is GGA-PBE.

crystal system: cubic
distance to the lowest polymorph of the same formula: 0.631 eV per atom

abc: 12.887 12.887 12.887
angles: 90.00 90.00 90.00
Space group Fd-3m (No. 227, origin choice 2)
One atom of each set of equivalent atoms:
Zn1 0.000 0.000 0.000 x16
Te1 0.125 0.125 0.125 x8

***

[2]
This record from OQMD via LeMat-Bulk describes an optimized crystal structure of TaO2. The functional is GGA-PBE.

E_tot: -6.69 eV per atom
crystal system: cubic
total moment: 1.2 μB per formula unit

abc: 6.261 6.261 6.261
angles: 90.00 90.00 90.00
Space group Fd-3m (No. 227, origin choice 2)
One atom of each set of equivalent atoms:
Ta1 0.125 0.125 0.125 x8
O1 0.000 0.000 0.500 x16

***

[3]
This record from OQMD via LeMat-Bulk describes an optimized crystal structure of AgHgPd2. The functional is GGA-PBE.

crystal system: tetragonal
ΔE_f: -126 meV/atom
distance to the lowest polymorph of the same formula: 0.021 eV per atom

abc: 3.092 3.092 7.165
angles: 90.00 90.00 90.00
Space group P4/mmm (No. 123)
One atom of each set of equivalent atoms:
Ag1 0.000 0.000 0.000 x1
Hg1 0.000 0.000 0.500 x1
Pd1 0.500 0.500 0.246 x2

***

[4]
This record from OQMD via LeMat-Bulk describes an optimized crystal structure of BeZnCoIr. The functional is GGA-PBE.

crystal system: cubic
distance to the lowest polymorph of the same formula: 0.047 eV per atom
total moment: 1.9 μB per formula unit

abc: 5.752 5.752 5.752
angles: 90.00 90.00 90.00
Space group F-43m (No. 216)
One atom of each set of equivalent atoms:
Be1 0.000 0.000 0.000 x4
Zn1 0.250 0.250 0.250 x4
Co1 0.000 0.000 0.500 x4
Ir1 0.250 0.250 0.750 x4

***

[5]
This record from OQMD via LeMat-Bulk describes an optimized crystal structure of PuCuSi. The functional is GGA-PBE.

E_tot: -7.42 eV per atom
crystal system: cubic
total moment: 5.0 μB per formula unit

abc: 6.208 6.208 6.208
angles: 90.00 90.00 90.00
Space group F-43m (No. 216)
One atom of each set of equivalent atoms:
Pu1 0.000 0.000 0.000 x4
Cu1 0.250 0.250 0.250 x4
Si1 0.000 0.000 0.500 x4

***

[6]
This record from OQMD via LeMat-Bulk describes an optimized crystal structure of SrTePtO. The functional is GGA-PBE.

crystal system: tetragonal
distance to the lowest polymorph of the same formula: 0.297 eV per atom
total moment: 0.0 μB per formula unit

abc: 4.398 4.398 9.363
angles: 90.00 90.00 90.00
Space group P4/nmm (No. 129, origin choice 2)
One atom of each set of equivalent atoms:
Sr1 0.250 0.250 0.143 x2
Te1 0.250 0.750 0.500 x2
Pt1 0.250 0.250 0.677 x2
O1 0.250 0.250 0.900 x2

***

[7]
This record from OQMD via LeMat-Bulk describes an optimized crystal structure of TbTm2Al3AgGe2. The functional is GGA-PBE.

E_tot: -4.70 eV per atom
crystal system: orthorhombic
total moment: 0.0 μB per formula unit

abc: 4.262 12.178 6.996
angles: 90.00 90.00 90.00
Space group Amm2 (No. 38)
One atom of each set of equivalent atoms:
Tb1 0.000 0.000 0.000 x2
Tm1 0.000 0.208 0.379 x4
Al1 0.500 0.000 0.345 x2
Al2 0.500 0.120 0.705 x4
Ag1 0.000 0.000 0.579 x2
Ge1 0.500 0.169 0.087 x4

***

[8]
This record from OQMD via LeMat-Bulk describes an optimized crystal structure of NaCoPd. The functional is GGA-PBE.

crystal system: cubic
distance to the lowest polymorph of the same formula: 0.000 eV per atom
total moment: 2.2 μB per formula unit

abc: 6.001 6.001 6.001
angles: 90.00 90.00 90.00
Space group F-43m (No. 216)
One atom of each set of equivalent atoms:
Na1 0.000 0.000 0.000 x4
Co1 0.250 0.250 0.250 x4
Pd1 0.000 0.000 0.500 x4